1.
{
  "formula": "CaMgF2",
  "functional": "PBE-GGA",
  "state": "relaxed",
  "de_polymorph_mev_per_atom": 274,
  "formation_energy_uncorrected_ev_per_atom": -2.44,
  "final_energy_ev_per_atom": -4.277,
  "crystal_system": "tetragonal",
  "density_g_cm3": 1.61,
  "lattice_angstrom": [[-3.534, 5.033, 0.464], [-3.077, -2.592, 4.675], [0.305, 3.424, 6.168]],
  "species": ["Ca", "Ca", "F", "F", "F", "F", "Mg", "Mg"],
  "frac_coords": [[0.750, 0.250, 0.500], [0.000, 0.000, 0.000], [0.775, 0.125, 0.250], [0.975, 0.625, 0.250], [0.875, 0.025, 0.750], [0.375, 0.225, 0.750], [0.250, 0.750, 0.500], [0.500, 0.500, 0.000]]
}



2.
{
  "formula": "Ca2Mg2F7",
  "functional": "PBE-GGA",
  "state": "relaxed",
  "formation_energy_uncorrected_ev_per_atom": -3.39,
  "final_energy_ev_per_atom": -5.233,
  "crystal_system": "orthorhombic",
  "density_g_cm3": 2.95,
  "lattice_angstrom": [[-0.827, 2.068, 4.710], [2.743, -4.095, 2.279], [4.440, 2.670, -0.546]],
  "species": ["Mg", "Mg", "F", "F", "F", "F", "F", "F", "F", "Ca", "Ca"],
  "frac_coords": [[0.733, 0.000, 0.267], [0.267, 0.000, 0.733], [0.500, 0.236, 0.000], [0.500, 0.227, 0.500], [0.500, 0.764, 0.000], [0.000, 0.764, 0.500], [0.500, 0.773, 0.500], [0.000, 0.236, 0.500], [0.000, 0.000, 0.000], [0.253, 0.500, 0.253], [0.747, 0.500, 0.747]]
}



3.
{
  "formula": "CaMgN2F",
  "functional": "PBE-GGA",
  "state": "relaxed",
  "de_polymorph_mev_per_atom": 0,
  "formation_energy_uncorrected_ev_per_atom": -0.58,
  "final_energy_ev_per_atom": -5.002,
  "crystal_system": "tetragonal",
  "density_g_cm3": 2.73,
  "lattice_angstrom": [[4.190, 0.000, 0.000], [0.000, 4.190, 0.000], [0.000, 0.000, 3.853]],
  "species": ["N", "N", "Mg", "F", "Ca"],
  "frac_coords": [[0.500, 0.000, 0.000], [0.000, 0.500, 0.000], [0.000, 0.000, 0.000], [0.000, 0.000, 0.500], [0.500, 0.500, 0.500]]
}



4.
{
  "formula": "CaMgNF2",
  "functional": "PBE-GGA",
  "state": "relaxed",
  "de_polymorph_mev_per_atom": 0,
  "formation_energy_uncorrected_ev_per_atom": -2.07,
  "final_energy_ev_per_atom": -5.200,
  "crystal_system": "tetragonal",
  "density_g_cm3": 2.98,
  "lattice_angstrom": [[-3.496, 0.884, -1.344], [1.028, -1.245, -3.493], [-1.409, -4.020, 1.019]],
  "species": ["Ca", "Mg", "F", "F", "N"],
  "frac_coords": [[0.500, 0.500, 0.500], [0.000, 0.000, 0.000], [0.000, 0.500, 0.000], [0.500, 0.000, 0.000], [0.000, 0.000, 0.500]]
}



5.
{
  "formula": "CaMgN2F",
  "functional": "PBE-GGA",
  "state": "relaxed",
  "de_polymorph_mev_per_atom": 714,
  "formation_energy_uncorrected_ev_per_atom": 0.14,
  "final_energy_ev_per_atom": -4.288,
  "crystal_system": "tetragonal",
  "density_g_cm3": 2.10,
  "lattice_angstrom": [[4.596, 0.000, 0.000], [0.000, 4.596, 0.000], [0.000, 0.000, 4.169]],
  "species": ["N", "N", "Ca", "Mg", "F"],
  "frac_coords": [[0.500, 0.000, 0.000], [0.000, 0.500, 0.000], [0.000, 0.000, 0.000], [0.500, 0.500, 0.500], [0.000, 0.000, 0.500]]
}



6.
{
  "formula": "CaMgNF2",
  "functional": "PBE-GGA",
  "state": "relaxed",
  "de_polymorph_mev_per_atom": 623,
  "formation_energy_uncorrected_ev_per_atom": -1.44,
  "final_energy_ev_per_atom": -4.577,
  "crystal_system": "tetragonal",
  "density_g_cm3": 2.28,
  "lattice_angstrom": [[-1.475, 3.090, -2.412], [-3.653, -2.018, -0.351], [-1.643, 2.289, 3.937]],
  "species": ["F", "F", "Ca", "Mg", "N"],
  "frac_coords": [[0.000, 0.500, 0.000], [0.500, 0.000, 0.000], [0.000, 0.000, 0.000], [0.500, 0.500, 0.500], [0.000, 0.000, 0.500]]
}



7.
{
  "formula": "NaCa2MgF",
  "functional": "PBE-GGA",
  "state": "relaxed",
  "formation_energy_uncorrected_ev_per_atom": -1.05,
  "final_energy_ev_per_atom": -2.804,
  "crystal_system": "tetragonal",
  "density_g_cm3": 1.87,
  "lattice_angstrom": [[-1.701, -2.122, 4.150], [-2.489, -3.322, -2.719], [4.206, -3.216, 0.079]],
  "species": ["F", "Ca", "Ca", "Na", "Mg"],
  "frac_coords": [[0.000, 0.000, 0.000], [0.500, 0.000, 0.000], [0.000, 0.500, 0.000], [0.000, 0.000, 0.500], [0.500, 0.500, 0.500]]
}



8.
{
  "formula": "NaCaMg2F7",
  "functional": "PBE-GGA",
  "state": "relaxed",
  "formation_energy_uncorrected_ev_per_atom": -3.51,
  "final_energy_ev_per_atom": -5.297,
  "crystal_system": "orthorhombic",
  "density_g_cm3": 2.91,
  "lattice_angstrom": [[-4.804, 4.859, 2.667], [-2.297, -4.969, 4.881], [7.075, 1.886, -0.432]],
  "species": ["F", "F", "F", "F", "F", "F", "F", "F", "F", "F", "F", "F", "F", "F", "Na", "Na", "Mg", "Mg", "Mg", "Mg", "Ca", "Ca"],
  "frac_coords": [[0.822, 0.072, 0.750], [0.132, 0.382, 0.750], [0.581, 0.331, 0.250], [0.174, 0.332, 0.262], [0.826, 0.088, 0.157], [0.174, 0.912, 0.843], [0.430, 0.668, 0.343], [0.826, 0.668, 0.738], [0.178, 0.928, 0.250], [0.868, 0.618, 0.250], [0.570, 0.912, 0.238], [0.419, 0.669, 0.750], [0.570, 0.332, 0.657], [0.430, 0.088, 0.762], [0.000, 0.500, 0.000], [0.000, 0.000, 0.500], [0.000, 0.000, 0.000], [0.500, 0.000, 0.000], [0.500, 0.500, 0.500], [0.500, 0.000, 0.500], [0.000, 0.500, 0.500], [0.500, 0.500, 0.000]]
}



Which formula does entry 3 have?
CaMgN2F